[1]
Ba2MgSc (PBE-GGA, optimized geometry); calculated total energy = -2.8093 eV/atom; formation energy from the elements = 0.1336 eV per atom
1.0
-3.931 0.251 0.994
0.510 -2.939 2.757
2.149 6.742 6.791
Ba Mg Sc
2 1 1
direct
0.000 0.000 0.947
0.500 0.500 0.311
0.000 0.000 0.555
0.500 0.500 0.688

=====

[2]
KGe5P4 (PBE-GGA, optimized geometry); calculated total energy = -4.5164 eV/atom; formation energy from the elements = 0.0660 eV per atom
1.0
5.843 0.000 0.000
0.000 7.203 0.000
0.000 0.000 10.501
K Ge P
2 10 8
direct
0.929 0.000 0.000
0.071 0.500 0.500
0.292 0.706 0.795
0.292 0.294 0.795
0.669 0.500 0.000
0.292 0.706 0.205
0.292 0.294 0.205
0.708 0.794 0.295
0.708 0.206 0.295
0.331 0.000 0.500
0.708 0.206 0.705
0.708 0.794 0.705
0.099 0.000 0.696
0.449 0.777 0.000
0.449 0.223 0.000
0.099 0.000 0.304
0.901 0.500 0.196
0.551 0.723 0.500
0.551 0.277 0.500
0.901 0.500 0.804

=====

[3]
Zr3Al2Pd3 (PBE-GGA, optimized geometry); calculated total energy = -6.7867 eV/atom; formation energy from the elements = -0.6982 eV per atom
1.0
-0.007 -0.664 5.278
1.856 -7.654 -0.960
5.752 5.421 0.689
Zr Al Pd
6 4 6
direct
0.750 0.250 0.000
0.750 0.750 0.750
0.750 0.000 0.250
0.250 0.750 0.000
0.250 0.250 0.250
0.250 0.000 0.750
0.000 0.333 0.667
0.500 0.667 0.333
0.000 0.667 0.333
0.500 0.333 0.667
0.750 0.596 0.000
0.750 0.404 0.404
0.750 0.000 0.596
0.250 0.404 0.000
0.250 0.596 0.596
0.250 0.000 0.404

=====

[4]
La3Cd3Hg8 (PBE-GGA, optimized geometry); calculated total energy = -1.7626 eV/atom; formation energy from the elements = -0.3382 eV per atom
1.0
-3.643 -2.864 -2.103
-1.900 -6.572 6.084
-7.489 1.247 5.117
La Cd Hg
3 3 8
direct
0.500 0.500 0.500
0.786 0.214 0.214
0.214 0.786 0.786
0.500 0.000 0.000
0.000 0.840 0.160
0.000 0.160 0.840
0.648 0.059 0.646
0.352 0.941 0.354
0.648 0.646 0.059
0.352 0.354 0.941
0.853 0.791 0.503
0.147 0.209 0.497
0.853 0.503 0.791
0.147 0.497 0.209